AcMnCr2O6 | Alexandria | PBE with a Hubbard U | relaxed; total moment = 1.00 μB/atom; E = -77.92 eV for the cell shown; SG = Cm (8)
1.0
4.027 -3.853 0.000
4.027 3.853 0.000
-3.753 0.000 4.019
Ac Mn Cr O
1 1 2 6
Direct
0.000 0.000 0.000
0.659 0.659 0.160
0.251 0.729 0.490
0.729 0.251 0.490
0.040 0.040 0.540
0.400 0.400 0.398
0.521 0.906 0.447
0.521 0.906 0.981
0.906 0.521 0.447
0.906 0.521 0.981